Version i
ZrAl2W2 | PBE | relaxed

Summary:
For the density of states at the Fermi level, the calculation gives 0.326 states/eV per atom. The value obtained for the magnetization is 0.00 μB/atom.

a = 7.018 Å, b = 7.018 Å, c = 3.403 Å
α = 90.00°, β = 90.00°, γ = 90.00°
Fractional coordinates of all 10 atoms:
Zr 0.000 0.000 0.000
Zr 0.500 0.500 0.000
W 0.171 0.671 0.500
W 0.671 0.829 0.500
W 0.829 0.329 0.500
W 0.329 0.171 0.500
Al 0.375 0.875 0.000
Al 0.875 0.625 0.000
Al 0.625 0.125 0.000
Al 0.125 0.375 0.000

Version ii
ZrAl2W2 | PBE | relaxed

Summary:
For the density of states at the Fermi level, the calculation gives 0.467 states/eV per atom. The value obtained for the magnetization is 0.00 μB/atom.

a = 3.820 Å, b = 3.820 Å, c = 6.666 Å
α = 73.35°, β = 73.35°, γ = 90.00°
Fractional coordinates of all 5 atoms:
Zr 0.000 0.000 0.000
W 0.750 0.250 0.500
W 0.250 0.750 0.500
Al 0.401 0.401 0.198
Al 0.599 0.599 0.802

Result of the stability comparison: version ii is the least stable of them.

Version i
Y4Al | PBE | relaxed

Summary:
For the density of states at the Fermi level, the calculation gives 1.089 states/eV per atom. The value obtained for the magnetization is 0.00 μB/atom.

a = 7.121 Å, b = 6.530 Å, c = 8.588 Å
α = 68.69°, β = 65.50°, γ = 56.96°
Fractional coordinates of all 10 atoms:
Y 0.734 0.719 0.813
Y 0.280 0.658 0.781
Y 0.842 0.221 0.619
Y 0.318 0.221 0.619
Y 0.682 0.779 0.381
Y 0.158 0.779 0.381
Y 0.720 0.342 0.219
Y 0.266 0.281 0.187
Al 0.800 0.000 0.000
Al 0.200 0.000 0.000

Version ii
Y4Al | PBE | relaxed

Summary:
For the density of states at the Fermi level, the calculation gives 1.986 states/eV per atom. The value obtained for the magnetization is 0.00 μB/atom.

a = 5.571 Å, b = 5.571 Å, c = 5.571 Å
α = 90.00°, β = 90.00°, γ = 90.00°
Fractional coordinates of all 5 atoms:
Y 0.000 0.000 0.000
Y 0.500 0.000 0.500
Y 0.000 0.500 0.500
Y 0.500 0.500 0.000
Al 0.500 0.500 0.500

Version iii
Y4Al | PBE | relaxed

Summary:
For the density of states at the Fermi level, the calculation gives 1.559 states/eV per atom. The value obtained for the magnetization is 0.00 μB/atom.

a = 6.589 Å, b = 6.589 Å, c = 6.589 Å
α = 94.45°, β = 94.45°, γ = 147.64°
Fractional coordinates of all 5 atoms:
Y 0.769 0.415 0.184
Y 0.415 0.231 0.647
Y 0.231 0.585 0.816
Y 0.585 0.769 0.353
Al 0.000 0.000 0.000

Result of the stability comparison: version ii is the least stable of them.

Version i
Y4Al | PBE | relaxed

Summary:
For the density of states at the Fermi level, the calculation gives 1.866 states/eV per atom. The value obtained for the magnetization is 0.00 μB/atom.

a = 7.904 Å, b = 7.904 Å, c = 7.904 Å
α = 60.00°, β = 60.00°, γ = 60.00°
Fractional coordinates of all 10 atoms:
Y 0.894 0.894 0.894
Y 0.319 0.894 0.894
Y 0.894 0.894 0.319
Y 0.931 0.356 0.356
Y 0.356 0.356 0.356
Y 0.894 0.319 0.894
Y 0.356 0.356 0.931
Y 0.356 0.931 0.356
Al 0.500 0.500 0.500
Al 0.750 0.750 0.750

Version ii
Y4Al | PBE | relaxed

Summary:
For the density of states at the Fermi level, the calculation gives 1.803 states/eV per atom. The value obtained for the magnetization is 0.00 μB/atom.

a = 5.994 Å, b = 5.994 Å, c = 5.994 Å
α = 109.47°, β = 109.47°, γ = 109.47°
Fractional coordinates of all 5 atoms:
Y 0.500 0.000 0.000
Y 0.500 0.500 0.500
Y 0.000 0.500 0.000
Y 0.000 0.000 0.500
Al 0.000 0.000 0.000

Version iii
Y4Al | PBE | relaxed

Summary:
For the density of states at the Fermi level, the calculation gives 1.479 states/eV per atom. The value obtained for the magnetization is 0.00 μB/atom.

a = 9.285 Å, b = 9.285 Å, c = 9.285 Å
α = 153.57°, β = 153.57°, γ = 37.73°
Fractional coordinates of all 5 atoms:
Y 0.750 0.250 0.500
Y 0.250 0.750 0.500
Y 0.587 0.587 0.000
Y 0.413 0.413 0.000
Al 0.000 0.000 0.000

Result of the stability comparison: version i is the least stable of them.

Version i
Y4Al5 | PBE | relaxed

Summary:
For the density of states at the Fermi level, the calculation gives 0.652 states/eV per atom. The value obtained for the magnetization is 0.00 μB/atom.

a = 8.841 Å, b = 8.841 Å, c = 6.156 Å
α = 90.00°, β = 90.00°, γ = 120.00°
Fractional coordinates of all 18 atoms:
Y 0.000 0.000 0.000
Y 0.000 0.000 0.500
Y 0.000 0.367 0.250
Y 0.633 0.633 0.250
Y 0.367 0.000 0.250
Y 0.000 0.633 0.750
Y 0.367 0.367 0.750
Y 0.633 0.000 0.750
Al 0.000 0.694 0.250
Al 0.306 0.306 0.250
Al 0.694 0.000 0.250
Al 0.000 0.306 0.750
Al 0.694 0.694 0.750
Al 0.306 0.000 0.750
Al 0.667 0.333 0.000
Al 0.333 0.667 0.500
Al 0.333 0.667 0.000
Al 0.667 0.333 0.500

Version ii
Y4Al5 | PBE | relaxed

Summary:
For the density of states at the Fermi level, the calculation gives 0.629 states/eV per atom. The value obtained for the magnetization is 0.00 μB/atom.

a = 7.169 Å, b = 7.169 Å, c = 7.169 Å
α = 95.71°, β = 95.71°, γ = 143.22°
Fractional coordinates of all 9 atoms:
Y 0.306 0.000 0.306
Y 0.694 0.000 0.694
Y 0.000 0.694 0.694
Y 0.000 0.306 0.306
Al 0.000 0.000 0.000
Al 0.350 0.650 0.000
Al 0.650 0.350 0.000
Al 0.650 0.650 0.301
Al 0.350 0.350 0.699

Result of the stability comparison: version i is the least stable of them.

Version i
Y5Al3 | PBE | relaxed

Summary:
For the density of states at the Fermi level, the calculation gives 0.925 states/eV per atom. The value obtained for the magnetization is 0.00 μB/atom.

a = 8.999 Å, b = 8.999 Å, c = 8.996 Å
α = 95.95°, β = 95.95°, γ = 142.44°
Fractional coordinates of all 16 atoms:
Al 0.750 0.750 0.000
Al 0.250 0.250 0.000
Al 0.339 0.161 0.500
Al 0.660 0.839 0.500
Al 0.160 0.661 0.822
Al 0.839 0.339 0.178
Y 0.250 0.750 0.500
Y 0.750 0.250 0.500
Y 0.782 0.084 0.866
Y 0.217 0.916 0.134
Y 0.717 0.584 0.302
Y 0.282 0.416 0.698
Y 0.583 0.282 0.866
Y 0.416 0.718 0.134
Y 0.083 0.218 0.302
Y 0.916 0.782 0.698

Version ii
Y5Al3 | PBE | relaxed

Summary:
For the density of states at the Fermi level, the calculation gives 0.892 states/eV per atom. The value obtained for the magnetization is 0.00 μB/atom.

a = 7.803 Å, b = 7.803 Å, c = 9.017 Å
α = 115.64°, β = 115.64°, γ = 90.00°
Fractional coordinates of all 16 atoms:
Y 0.000 0.000 0.000
Y 0.500 0.500 0.000
Y 0.521 0.021 0.704
Y 0.182 0.682 0.704
Y 0.682 0.521 0.704
Y 0.021 0.182 0.704
Y 0.479 0.979 0.296
Y 0.818 0.318 0.296
Y 0.318 0.479 0.296
Y 0.979 0.818 0.296
Al 0.750 0.750 0.500
Al 0.250 0.250 0.500
Al 0.121 0.621 0.000
Al 0.879 0.379 0.000
Al 0.379 0.121 0.000
Al 0.621 0.879 0.000

Version iii
Y5Al3 | PBE | relaxed

Summary:
For the density of states at the Fermi level, the calculation gives 1.727 states/eV per atom. The value obtained for the magnetization is 0.00 μB/atom.

a = 8.864 Å, b = 8.864 Å, c = 6.437 Å
α = 90.00°, β = 90.00°, γ = 120.00°
Fractional coordinates of all 16 atoms:
Al 0.598 0.000 0.250
Al 0.000 0.598 0.250
Al 0.402 0.402 0.250
Al 0.402 0.000 0.750
Al 0.000 0.402 0.750
Al 0.598 0.598 0.750
Y 0.333 0.667 0.000
Y 0.667 0.333 0.500
Y 0.667 0.333 0.000
Y 0.333 0.667 0.500
Y 0.241 0.000 0.250
Y 0.000 0.241 0.250
Y 0.759 0.759 0.250
Y 0.759 0.000 0.750
Y 0.000 0.759 0.750
Y 0.241 0.241 0.750

Result of the stability comparison: version iii is the least stable of them.

Version i
YAlZn2 | PBE | relaxed

Summary:
For the density of states at the Fermi level, the calculation gives 0.558 states/eV per atom. The value obtained for the magnetization is 0.00 μB/atom.

a = 4.472 Å, b = 3.385 Å, c = 5.398 Å
α = 90.00°, β = 90.00°, γ = 90.00°
Fractional coordinates of all 4 atoms:
Y 0.500 0.750 0.753
Zn 0.000 0.249 0.001
Zn 0.500 0.251 0.249
Al 0.000 0.250 0.498

Version ii
YAlZn2 | PBE | relaxed

Summary:
For the density of states at the Fermi level, the calculation gives 0.251 states/eV per atom. The value obtained for the magnetization is 0.00 μB/atom.

a = 4.456 Å, b = 6.526 Å, c = 10.394 Å
α = 90.00°, β = 90.00°, γ = 90.00°
Fractional coordinates of all 16 atoms:
Y 0.750 0.250 0.346
Y 0.250 0.750 0.654
Y 0.750 0.750 0.154
Y 0.250 0.250 0.846
Al 0.750 0.250 0.052
Al 0.250 0.750 0.948
Al 0.750 0.750 0.448
Al 0.250 0.250 0.552
Zn 0.250 0.945 0.369
Zn 0.750 0.055 0.631
Zn 0.250 0.445 0.131
Zn 0.750 0.555 0.869
Zn 0.250 0.056 0.131
Zn 0.750 0.944 0.869
Zn 0.250 0.556 0.369
Zn 0.750 0.444 0.631

Version iii
YAlZn2 | PBE | relaxed

Summary:
For the density of states at the Fermi level, the calculation gives 0.788 states/eV per atom. The value obtained for the magnetization is 0.00 μB/atom.

a = 5.697 Å, b = 5.697 Å, c = 2.941 Å
α = 78.77°, β = 78.77°, γ = 116.66°
Fractional coordinates of all 4 atoms:
Y 0.000 0.500 0.500
Zn 0.000 0.000 0.000
Zn 0.500 0.500 0.000
Al 0.500 0.000 0.500

Version iv
YAlZn2 | PBE | relaxed

Summary:
For the density of states at the Fermi level, the calculation gives 0.469 states/eV per atom. The value obtained for the magnetization is 0.07 μB/atom.

a = 3.343 Å, b = 3.340 Å, c = 6.858 Å
α = 90.00°, β = 90.00°, γ = 90.00°
Each line ends with the local moment (μB).
Fractional coordinates of all 4 atoms:
Y 0.500 0.500 0.750  0.17
Zn 0.000 0.000 0.043  0.00
Zn 0.000 0.000 0.457  0.00
Al 0.500 0.500 0.250  0.00

Result of the stability comparison: version iii is the least stable of them.

Version i
YAlZn2 | PBE | relaxed

Summary:
For the density of states at the Fermi level, the calculation gives 0.577 states/eV per atom. The value obtained for the magnetization is 0.00 μB/atom.

a = 9.101 Å, b = 9.101 Å, c = 9.101 Å
α = 20.84°, β = 20.84°, γ = 20.84°
Fractional coordinates of all 4 atoms:
Y 0.748 0.748 0.748
Zn 0.990 0.990 0.990
Zn 0.252 0.252 0.252
Al 0.510 0.510 0.510

Version ii
YAlZn2 | PBE | relaxed

Summary:
For the density of states at the Fermi level, the calculation gives 0.545 states/eV per atom. The value obtained for the magnetization is 0.08 μB/atom.

a = 3.352 Å, b = 3.353 Å, c = 6.876 Å
α = 90.00°, β = 90.00°, γ = 90.00°
Each line ends with the local moment (μB).
Fractional coordinates of all 4 atoms:
Y 0.500 0.500 0.755  0.17
Zn 0.000 0.000 0.049  0.00
Zn 0.500 0.500 0.244  0.00
Al 0.000 0.000 0.451  0.00

Version iii
YAlZn2 | PBE | relaxed

Summary:
For the density of states at the Fermi level, the calculation gives 0.589 states/eV per atom. The value obtained for the magnetization is 0.00 μB/atom.

a = 4.277 Å, b = 4.006 Å, c = 9.405 Å
α = 102.30°, β = 90.00°, γ = 90.00°
Fractional coordinates of all 8 atoms:
Y 0.250 0.893 0.787
Y 0.750 0.107 0.213
Al 0.750 0.333 0.666
Al 0.250 0.667 0.334
Zn 0.250 0.254 0.508
Zn 0.750 0.746 0.492
Zn 0.750 0.468 0.936
Zn 0.250 0.532 0.064

Version iv
YAlZn2 | PBE | relaxed

Summary:
For the density of states at the Fermi level, the calculation gives 0.457 states/eV per atom. The value obtained for the magnetization is 0.00 μB/atom.

a = 4.548 Å, b = 4.548 Å, c = 9.229 Å
α = 75.74°, β = 75.74°, γ = 90.00°
Fractional coordinates of all 8 atoms:
Y 0.000 0.000 0.000
Y 0.750 0.250 0.500
Zn 0.485 0.125 0.250
Zn 0.265 0.625 0.250
Zn 0.375 0.515 0.750
Zn 0.875 0.735 0.750
Al 0.500 0.500 0.000
Al 0.250 0.750 0.500

Result of the stability comparison: version i is the least stable of them.

Version i
YAlZn2 | PBE | relaxed

Summary:
For the density of states at the Fermi level, the calculation gives 0.439 states/eV per atom. The value obtained for the magnetization is 0.00 μB/atom.

a = 9.199 Å, b = 9.199 Å, c = 9.199 Å
α = 20.44°, β = 20.44°, γ = 20.44°
Fractional coordinates of all 4 atoms:
Y 0.750 0.750 0.750
Zn 0.992 0.992 0.992
Zn 0.508 0.508 0.508
Al 0.250 0.250 0.250

Version ii
YAlZn2 | PBE | relaxed

Summary:
For the density of states at the Fermi level, the calculation gives 0.487 states/eV per atom. The value obtained for the magnetization is 0.00 μB/atom.

a = 4.497 Å, b = 3.419 Å, c = 5.355 Å
α = 90.00°, β = 90.00°, γ = 90.00°
Fractional coordinates of all 4 atoms:
Y 0.500 0.750 0.750
Zn 0.000 0.250 0.997
Zn 0.000 0.250 0.503
Al 0.500 0.250 0.250

Version iii
YAlZn2 | PBE | relaxed

Summary:
For the density of states at the Fermi level, the calculation gives 0.247 states/eV per atom. The value obtained for the magnetization is 0.00 μB/atom.

a = 4.771 Å, b = 4.771 Å, c = 4.771 Å
α = 119.04°, β = 121.63°, γ = 89.44°
Fractional coordinates of all 4 atoms:
Y 0.250 0.750 0.500
Zn 0.009 0.009 0.000
Zn 0.750 0.250 0.500
Al 0.491 0.491 0.000

Version iv
YAlZn2 | PBE | relaxed

Summary:
For the density of states at the Fermi level, the calculation gives 0.458 states/eV per atom. The value obtained for the magnetization is 0.00 μB/atom.

a = 4.246 Å, b = 4.246 Å, c = 5.696 Å
α = 68.02°, β = 68.02°, γ = 60.04°
Fractional coordinates of all 4 atoms:
Y 0.253 0.253 0.240
Zn 0.038 0.038 0.885
Zn 0.746 0.746 0.763
Al 0.463 0.463 0.611

Result of the stability comparison: version i is the least stable of them.